Entry 1:
{
  "formula": "La3TeRhBr",
  "functional": "PBE",
  "state": "optimized geometry",
  "raw_formation_energy_mev_per_atom": -1175,
  "lattice": [[7.506, 0.000, 0.000], [0.000, 4.116, 0.000], [-2.352, 0.000, 11.953]],
  "species": ["La", "La", "La", "La", "La", "La", "Te", "Te", "Rh", "Rh", "Br", "Br"],
  "fractional_positions": [[0.046, 0.250, 0.133], [0.285, 0.250, 0.497], [0.445, 0.750, 0.858], [0.555, 0.250, 0.142], [0.715, 0.750, 0.503], [0.954, 0.750, 0.867], [0.352, 0.750, 0.305], [0.648, 0.250, 0.695], [0.234, 0.250, 0.950], [0.766, 0.750, 0.050], [0.116, 0.750, 0.640], [0.884, 0.250, 0.360]]
}

---

Entry 2:
{
  "formula": "La8TeRh3Br4",
  "functional": "PBE",
  "state": "optimized geometry",
  "raw_formation_energy_mev_per_atom": -1181,
  "lattice": [[4.328, 2.499, 7.690], [-4.328, 2.499, 7.690], [0.000, -4.997, 7.690]],
  "species": ["La", "La", "La", "La", "La", "La", "La", "La", "Te", "Rh", "Rh", "Rh", "Br", "Br", "Br", "Br"],
  "fractional_positions": [[0.210, 0.750, 0.750], [0.233, 0.233, 0.233], [0.250, 0.250, 0.790], [0.250, 0.790, 0.250], [0.750, 0.210, 0.750], [0.750, 0.750, 0.210], [0.767, 0.767, 0.767], [0.790, 0.250, 0.250], [0.500, 0.500, 0.500], [0.000, 0.000, 0.500], [0.000, 0.500, 0.000], [0.500, 0.000, 0.000], [0.000, 0.000, 0.000], [0.000, 0.500, 0.500], [0.500, 0.000, 0.500], [0.500, 0.500, 0.000]]
}

---

Entry 3:
{
  "formula": "LaThRhBr",
  "functional": "PBE",
  "state": "optimized geometry",
  "raw_formation_energy_mev_per_atom": -1045,
  "lattice": [[2.084, 1.203, 8.013], [-2.084, 1.203, 8.013], [0.000, -2.407, 8.013]],
  "species": ["La", "Th", "Rh", "Br"],
  "fractional_positions": [[0.000, 0.000, 0.000], [0.206, 0.206, 0.206], [0.597, 0.597, 0.597], [0.769, 0.769, 0.769]]
}

---

Entry 4:
{
  "formula": "LaTl2RhBr",
  "functional": "PBE",
  "state": "optimized geometry",
  "raw_formation_energy_mev_per_atom": -642,
  "lattice": [[5.323, 0.000, 0.000], [0.000, 5.323, 0.000], [0.000, 0.000, 5.357]],
  "species": ["La", "Tl", "Tl", "Rh", "Br"],
  "fractional_positions": [[0.000, 0.000, 0.000], [0.000, 0.500, 0.500], [0.500, 0.000, 0.500], [0.000, 0.000, 0.500], [0.500, 0.500, 0.000]]
}

---

Entry 5:
{
  "formula": "LaRu2Br",
  "functional": "PBE",
  "state": "optimized geometry",
  "relative_energy_mev_per_atom": 479,
  "raw_formation_energy_mev_per_atom": 253,
  "lattice": [[3.204, 0.000, 0.000], [0.000, 4.730, 0.000], [0.000, 0.000, 5.057]],
  "species": ["La", "Ru", "Ru", "Br"],
  "fractional_positions": [[0.000, 0.000, 0.000], [0.000, 0.500, 0.500], [0.500, 0.500, 0.000], [0.500, 0.000, 0.500]]
}

---

Entry 6:
{
  "formula": "LaRu2Br",
  "functional": "PBE",
  "state": "optimized geometry",
  "relative_energy_mev_per_atom": 537,
  "raw_formation_energy_mev_per_atom": 311,
  "lattice": [[4.018, 0.000, 0.000], [0.000, 4.018, 0.000], [0.000, 0.000, 5.123]],
  "species": ["La", "Ru", "Ru", "Br"],
  "fractional_positions": [[0.000, 0.000, 0.000], [0.000, 0.500, 0.500], [0.500, 0.000, 0.500], [0.500, 0.500, 0.000]]
}

---

Entry 7:
{
  "formula": "LaRuBr",
  "functional": "PBE",
  "state": "optimized geometry",
  "relative_energy_mev_per_atom": 606,
  "raw_formation_energy_mev_per_atom": -395,
  "lattice": [[4.466, 0.000, 0.000], [-2.233, 3.868, 0.000], [0.000, 0.000, 3.774]],
  "species": ["La", "Ru", "Br"],
  "fractional_positions": [[0.000, 0.000, 0.000], [0.667, 0.333, 0.447], [0.333, 0.667, 0.512]]
}

---

Entry 8:
{
  "formula": "LaRu2Br",
  "functional": "PBE",
  "state": "optimized geometry",
  "relative_energy_mev_per_atom": 891,
  "raw_formation_energy_mev_per_atom": 664,
  "lattice": [[1.728, 0.998, 7.882], [-1.728, 0.998, 7.882], [0.000, -1.996, 7.882]],
  "species": ["La", "Ru", "Ru", "Br"],
  "fractional_positions": [[0.000, 0.000, 0.000], [0.252, 0.252, 0.252], [0.748, 0.748, 0.748], [0.500, 0.500, 0.500]]
}

---

Entry 9:
{
  "formula": "LaRuBr",
  "functional": "PBE",
  "state": "optimized geometry",
  "relative_energy_mev_per_atom": 751,
  "raw_formation_energy_mev_per_atom": -250,
  "lattice": [[0.000, 3.190, 5.799], [2.102, 0.000, 5.799], [2.102, 3.190, 0.000]],
  "species": ["La", "Ru", "Br"],
  "fractional_positions": [[0.000, 0.000, 0.000], [0.399, 0.399, 0.601], [0.717, 0.717, 0.283]]
}

---

Entry 10:
{
  "formula": "LaRuBr",
  "functional": "PBE",
  "state": "optimized geometry",
  "relative_energy_mev_per_atom": 798,
  "raw_formation_energy_mev_per_atom": -203,
  "lattice": [[4.169, 0.000, 0.000], [-2.085, 3.611, 0.000], [0.000, 0.000, 5.013]],
  "species": ["La", "Ru", "Br"],
  "fractional_positions": [[0.000, 0.000, 0.000], [0.667, 0.333, 0.165], [0.333, 0.667, 0.511]]
}

---

Entry 11:
{
  "formula": "LaRu2Br",
  "functional": "PBE",
  "state": "optimized geometry",
  "relative_energy_mev_per_atom": 770,
  "raw_formation_energy_mev_per_atom": 543,
  "lattice": [[3.537, 0.000, 0.000], [0.000, 3.537, 0.000], [0.000, 0.000, 6.254]],
  "species": ["La", "Ru", "Ru", "Br"],
  "fractional_positions": [[0.000, 0.000, 0.000], [0.500, 0.500, 0.256], [0.500, 0.500, 0.744], [0.000, 0.000, 0.500]]
}

---

Entry 12:
{
  "formula": "LaRuBr3",
  "functional": "PBE",
  "state": "optimized geometry",
  "relative_energy_mev_per_atom": 212,
  "raw_formation_energy_mev_per_atom": -200,
  "lattice": [[5.872, 0.000, 0.000], [0.000, 5.872, 0.000], [0.000, 0.000, 5.872]],
  "species": ["La", "Ru", "Br", "Br", "Br"],
  "fractional_positions": [[0.000, 0.000, 0.000], [0.500, 0.500, 0.500], [0.000, 0.000, 0.500], [0.000, 0.500, 0.000], [0.500, 0.000, 0.000]]
}

---

Entry 13:
{
  "formula": "LaRu4Br",
  "functional": "PBE",
  "state": "optimized geometry",
  "raw_formation_energy_mev_per_atom": 501,
  "lattice": [[0.000, 3.833, 3.833], [3.833, 0.000, 3.833], [3.833, 3.833, 0.000]],
  "species": ["La", "Ru", "Ru", "Ru", "Ru", "Br"],
  "fractional_positions": [[0.000, 0.000, 0.000], [0.126, 0.625, 0.625], [0.625, 0.126, 0.625], [0.625, 0.625, 0.126], [0.625, 0.625, 0.625], [0.250, 0.250, 0.250]]
}

---

Entry 14:
{
  "formula": "LaRuBr",
  "functional": "PBE",
  "state": "optimized geometry",
  "relative_energy_mev_per_atom": 1235,
  "raw_formation_energy_mev_per_atom": 235,
  "lattice": [[0.000, 3.546, 3.546], [3.546, 0.000, 3.546], [3.546, 3.546, 0.000]],
  "species": ["La", "Ru", "Br"],
  "fractional_positions": [[0.000, 0.000, 0.000], [0.250, 0.250, 0.250], [0.750, 0.750, 0.750]]
}

---

Entry 15:
{
  "formula": "LaRu2Br",
  "functional": "PBE",
  "state": "optimized geometry",
  "relative_energy_mev_per_atom": 355,
  "raw_formation_energy_mev_per_atom": 128,
  "lattice": [[-1.919, 2.730, 4.393], [1.919, -2.730, 4.393], [1.919, 2.730, -4.393]],
  "species": ["La", "Ru", "Ru", "Br"],
  "fractional_positions": [[0.000, 0.000, 0.000], [0.329, 0.829, 0.500], [0.481, 0.481, 0.000], [0.701, 0.201, 0.500]]
}

---

Entry 16:
{
  "formula": "LaRuBr",
  "functional": "PBE",
  "state": "optimized geometry",
  "relative_energy_mev_per_atom": 750,
  "raw_formation_energy_mev_per_atom": -251,
  "lattice": [[0.000, 3.283, 3.283], [3.283, 0.000, 3.283], [3.283, 3.283, 0.000]],
  "species": ["La", "Ru", "Br"],
  "fractional_positions": [[0.000, 0.000, 0.000], [0.750, 0.750, 0.750], [0.500, 0.500, 0.500]]
}

---

Entry 17:
{
  "formula": "La2RuBr2",
  "functional": "PBE",
  "state": "optimized geometry",
  "relative_energy_mev_per_atom": 511,
  "raw_formation_energy_mev_per_atom": -626,
  "lattice": [[-2.940, 2.940, 3.967], [2.940, -2.940, 3.967], [2.940, 2.940, -3.967]],
  "species": ["La", "La", "Ru", "Br", "Br"],
  "fractional_positions": [[0.250, 0.750, 0.500], [0.750, 0.250, 0.500], [0.000, 0.000, 0.000], [0.306, 0.306, 0.000], [0.694, 0.694, 0.000]]
}

---

Entry 18:
{
  "formula": "LaRuBr",
  "functional": "PBE",
  "state": "optimized geometry",
  "relative_energy_mev_per_atom": 0,
  "raw_formation_energy_mev_per_atom": -1000,
  "lattice": [[3.765, -2.109, 0.000], [3.765, 2.109, 0.000], [-2.524, 0.000, 11.484]],
  "species": ["La", "La", "Ru", "Ru", "Br", "Br"],
  "fractional_positions": [[0.058, 0.058, 0.180], [0.942, 0.942, 0.820], [0.343, 0.343, 0.008], [0.657, 0.657, 0.992], [0.213, 0.213, 0.654], [0.787, 0.787, 0.346]]
}

---

Entry 19:
{
  "formula": "LaRu2Br",
  "functional": "PBE",
  "state": "optimized geometry",
  "relative_energy_mev_per_atom": 826,
  "raw_formation_energy_mev_per_atom": 599,
  "lattice": [[1.719, -2.800, 0.000], [1.719, 2.800, 0.000], [0.000, 0.000, 8.253]],
  "species": ["La", "Ru", "Ru", "Br"],
  "fractional_positions": [[0.000, 0.000, 0.000], [0.500, 0.500, 0.244], [0.500, 0.500, 0.756], [0.000, 0.000, 0.500]]
}

---

Entry 20:
{
  "formula": "La3RuBr",
  "functional": "PBE",
  "state": "optimized geometry",
  "relative_energy_mev_per_atom": 0,
  "raw_formation_energy_mev_per_atom": -649,
  "lattice": [[7.631, -5.604, 0.000], [7.631, 5.604, 0.000], [-0.783, 0.000, 7.565]],
  "species": ["La", "La", "La", "La", "La", "La", "La", "La", "La", "La", "La", "La", "Ru", "Ru", "Ru", "Ru", "Br", "Br", "Br", "Br"],
  "fractional_positions": [[0.006, 0.632, 0.342], [0.030, 0.779, 0.905], [0.221, 0.970, 0.595], [0.293, 0.385, 0.067], [0.368, 0.994, 0.158], [0.385, 0.293, 0.567], [0.615, 0.707, 0.433], [0.632, 0.006, 0.842], [0.707, 0.615, 0.933], [0.779, 0.030, 0.405], [0.970, 0.221, 0.095], [0.994, 0.368, 0.658], [0.160, 0.257, 0.362], [0.257, 0.160, 0.862], [0.743, 0.840, 0.138], [0.840, 0.743, 0.638], [0.289, 0.711, 0.250], [0.373, 0.627, 0.750], [0.627, 0.373, 0.250], [0.711, 0.289, 0.750]]
}

---

Entry 21:
{
  "formula": "La5Ru2Br2",
  "functional": "PBE",
  "state": "optimized geometry",
  "raw_formation_energy_mev_per_atom": -746,
  "lattice": [[8.037, -3.850, 0.000], [8.037, 3.850, 0.000], [0.000, 0.000, 8.515]],
  "species": ["La", "La", "La", "La", "La", "La", "La", "La", "La", "La", "Ru", "Ru", "Ru", "Ru", "Br", "Br", "Br", "Br"],
  "fractional_positions": [[0.000, 0.000, 0.000], [0.032, 0.741, 0.663], [0.241, 0.532, 0.163], [0.259, 0.968, 0.663], [0.468, 0.759, 0.163], [0.500, 0.500, 0.500], [0.532, 0.241, 0.837], [0.741, 0.032, 0.337], [0.759, 0.468, 0.837], [0.968, 0.259, 0.337], [0.160, 0.840, 0.373], [0.340, 0.660, 0.873], [0.660, 0.340, 0.127], [0.840, 0.160, 0.627], [0.204, 0.204, 0.000], [0.296, 0.296, 0.500], [0.704, 0.704, 0.500], [0.796, 0.796, 0.000]]
}

---

Entry 22:
{
  "formula": "LaRu2Br",
  "functional": "PBE",
  "state": "optimized geometry",
  "relative_energy_mev_per_atom": 527,
  "raw_formation_energy_mev_per_atom": 300,
  "lattice": [[-2.002, 2.002, 5.138], [2.002, -2.002, 5.138], [2.002, 2.002, -5.138]],
  "species": ["La", "Ru", "Ru", "Br"],
  "fractional_positions": [[0.000, 0.000, 0.000], [0.250, 0.750, 0.500], [0.750, 0.250, 0.500], [0.500, 0.500, 0.000]]
}

---

Entry 23:
{
  "formula": "LaRu2Br",
  "functional": "PBE",
  "state": "optimized geometry",
  "relative_energy_mev_per_atom": 652,
  "raw_formation_energy_mev_per_atom": 426,
  "lattice": [[0.000, 3.442, 3.442], [3.442, 0.000, 3.442], [3.442, 3.442, 0.000]],
  "species": ["La", "Ru", "Ru", "Br"],
  "fractional_positions": [[0.000, 0.000, 0.000], [0.500, 0.500, 0.500], [0.750, 0.750, 0.750], [0.250, 0.250, 0.250]]
}

---

Entry 24:
{
  "formula": "LaRu2Br",
  "functional": "PBE",
  "state": "optimized geometry",
  "relative_energy_mev_per_atom": 644,
  "raw_formation_energy_mev_per_atom": 417,
  "lattice": [[3.399, 0.000, 0.000], [0.000, 4.669, 0.000], [0.000, 0.000, 6.043]],
  "species": ["La", "Ru", "Ru", "Br"],
  "fractional_positions": [[0.000, 0.000, 0.000], [0.500, 0.500, 0.186], [0.500, 0.500, 0.814], [0.000, 0.000, 0.500]]
}

---

Entry 25:
{
  "formula": "La4RuBr",
  "functional": "PBE",
  "state": "optimized geometry",
  "relative_energy_mev_per_atom": 1039,
  "raw_formation_energy_mev_per_atom": 515,
  "lattice": [[0.000, 4.432, 4.432], [4.432, 0.000, 4.432], [4.432, 4.432, 0.000]],
  "species": ["La", "La", "La", "La", "Ru", "Br"],
  "fractional_positions": [[0.124, 0.124, 0.124], [0.124, 0.124, 0.628], [0.124, 0.628, 0.124], [0.628, 0.124, 0.124], [0.750, 0.750, 0.750], [0.500, 0.500, 0.500]]
}

---

Entry 26:
{
  "formula": "La7RuBr12",
  "functional": "PBE",
  "state": "optimized geometry",
  "raw_formation_energy_mev_per_atom": -1688,
  "lattice": [[7.785, 4.494, 3.695], [-7.785, 4.494, 3.695], [0.000, -8.989, 3.695]],
  "species": ["La", "La", "La", "La", "La", "La", "La", "Ru", "Br", "Br", "Br", "Br", "Br", "Br", "Br", "Br", "Br", "Br", "Br", "Br"],
  "fractional_positions": [[0.000, 0.000, 0.000], [0.190, 0.483, 0.394], [0.394, 0.190, 0.483], [0.483, 0.394, 0.190], [0.517, 0.606, 0.810], [0.606, 0.810, 0.517], [0.810, 0.517, 0.606], [0.500, 0.500, 0.500], [0.039, 0.125, 0.333], [0.125, 0.333, 0.039], [0.177, 0.569, 0.715], [0.285, 0.823, 0.431], [0.333, 0.039, 0.125], [0.431, 0.285, 0.823], [0.569, 0.715, 0.177], [0.667, 0.961, 0.875], [0.715, 0.177, 0.569], [0.823, 0.431, 0.285], [0.875, 0.667, 0.961], [0.961, 0.875, 0.667]]
}

---

no.,V (Å³/cell)
1,369
2,499
3,121
4,152
5,77
6,83
7,65
8,82
9,78
10,75
11,78
12,202
13,113
14,89
15,92
16,71
17,137
18,182
19,79
20,647
21,527
22,82
23,82
24,96
25,174
26,776